(1)
Density functional theory data (PBE-GGA) for a geometry-optimized ScBPb3 structure.

Cell and atoms, written as CIF:
```
data_ScBPb3
_cell_length_a 5.6000
_cell_length_b 5.6000
_cell_length_c 5.6000
_cell_angle_alpha 90.00
_cell_angle_beta 90.00
_cell_angle_gamma 90.00
_space_group_name_H-M_alt 'P m -3 m'
_space_group_IT_number 221
_space_group_name_Hall '-P 4 2 3'
loop_
_atom_site_label
_atom_site_fract_x
_atom_site_fract_y
_atom_site_fract_z
_atom_site_occupancy
Sc1 0.0000 0.0000 0.0000 1
B1 0.5000 0.5000 0.5000 1
Pb1 0.0000 0.0000 0.5000 1
```

Results
**E above lowest polymorph**: 608.1 meV per atom
**D(E_F)**: 3.9 states/eV/f.u.
**Formation energy from the elements**: 1.253 eV per atom



(2)
Density functional theory data (PBE-GGA) for a geometry-optimized Cs4ThTe4 structure.

Cell and atoms, written as CIF:
```
data_Cs4ThTe4
_cell_length_a 9.1738
_cell_length_b 9.1738
_cell_length_c 15.5530
_cell_angle_alpha 90.00
_cell_angle_beta 90.00
_cell_angle_gamma 90.00
_space_group_name_H-M_alt 'I -4 2 m'
_space_group_IT_number 121
_space_group_name_Hall 'I -4 2'
loop_
_atom_site_label
_atom_site_fract_x
_atom_site_fract_y
_atom_site_fract_z
_atom_site_occupancy
Cs1 0.0000 0.0000 0.1985 1
Cs2 0.0000 0.5000 0.0000 1
Th1 0.0000 0.0000 0.5000 1
Te1 0.1889 0.1889 0.6127 1
```

Results
**E above lowest polymorph**: 53.9 meV per atom
**D(E_F)**: 0.0 states/eV/f.u.
**E_form (uncorrected)**: -1061 meV/atom



(3)
Density functional theory data (PBE-GGA) for a geometry-optimized YV2TcP structure.

Cell and atoms, written as CIF:
```
data_YV2TcP
_cell_length_a 4.5866
_cell_length_b 4.5866
_cell_length_c 4.8882
_cell_angle_alpha 90.00
_cell_angle_beta 90.00
_cell_angle_gamma 90.00
_space_group_name_H-M_alt 'P 4/m m m'
_space_group_IT_number 123
_space_group_name_Hall '-P 4 2'
loop_
_atom_site_label
_atom_site_fract_x
_atom_site_fract_y
_atom_site_fract_z
_atom_site_occupancy
Y1 0.0000 0.0000 0.0000 1
V1 0.0000 0.5000 0.0000 1
Tc1 0.5000 0.5000 0.5000 1
P1 0.0000 0.0000 0.5000 1
```

Results
**D(E_F)**: 10.5 states/eV/f.u.
**Formation energy from the elements**: 2.185 eV per atom